# 1
First-principles (PBE-GGA) data for Sr3CaSn16 after structural relaxation, as listed in Alexandria via LeMat-Bulk.

Properties
D(E_F)	0.568	states/eV/atom

Lattice parameters (Å, degrees): 11.4026 11.4026 11.4026 155.92 104.20 80.89
Last column: nearest neighbours and their distance in Å.
Sites, in units of the cell vectors:
Sr: 0.0000 0.0000 0.0000  13 Sn 3.47-3.63
Sr: 0.4718 0.2222 0.2496  13 Sn 3.47-3.72
Sr: 0.9727 0.2222 0.7504  13 Sn 3.47-3.72
Ca: 0.4998 0.9998 0.5000  13 Sn 3.39-3.61
Sn: 0.0645 0.4165 0.6480  5 Sn 2.98-3.33
Sn: 0.2043 0.2043 0.0000  8 Sn 3.35, 3 Sr 3.51-3.55
Sn: 0.2050 0.8103 0.3947  3 Sn 2.95-3.06
Sn: 0.2341 0.6116 0.6225  8 Sn 3.35-3.61, 4 Sr 3.52-3.54
Sn: 0.2735 0.0199 0.2536  8 Sn 3.33-3.40, 1 Ca 3.47, 2 Sr 3.51-3.57
Sn: 0.2783 0.4174 0.8609  6 Sn 2.98-3.34
Sn: 0.4156 0.8103 0.6053  3 Sn 2.95-3.06
Sn: 0.4895 0.6092 0.8803  8 Sn 3.32-3.61, 2 Ca 3.48, 2 Sr 3.59
Sn: 0.5566 0.4174 0.1391  6 Sn 2.98-3.34
Sn: 0.7017 0.2017 0.5000  8 Sn 3.32-3.36, 1 Ca 3.50, 2 Sr 3.53
Sn: 0.7030 0.8089 0.8942  3 Sn 2.97-3.08
Sn: 0.7289 0.6092 0.1197  8 Sn 3.32-3.61, 2 Ca 3.48, 2 Sr 3.59
Sn: 0.7663 0.0199 0.7464  8 Sn 3.33-3.40, 1 Ca 3.47, 2 Sr 3.51-3.57
Sn: 0.7686 0.4165 0.3520  5 Sn 2.98-3.33
Sn: 0.9147 0.8089 0.1058  3 Sn 2.97-3.08
Sn: 0.9891 0.6116 0.3775  8 Sn 3.35-3.61, 4 Sr 3.52-3.54

---

# 2
First-principles (PBE-GGA) data for MnNi2Pt8 after structural relaxation, as listed in Alexandria via LeMat-Bulk.

Properties
D(E_F)	1.482	states/eV/atom

Lattice parameters (Å, degrees): 7.2631 7.2631 6.1763 105.36 105.36 31.26
Last column: nearest neighbours and their distance in Å.
Sites, in units of the cell vectors:
Mn: 0.0000 0.0000 0.0000  12 Pt 2.73-2.78
Ni: 0.2752 0.2752 0.3665  10 Pt 2.67-2.80, 2 Ni 2.77
Ni: 0.7248 0.7248 0.6335  10 Pt 2.67-2.80, 2 Ni 2.77
Pt: 0.0976 0.0976 0.4520  3 Ni 2.67-2.68, 8 Pt 2.70-2.95, 1 Mn 2.75
Pt: 0.1818 0.1818 0.9166  3 Ni 2.73-2.80, 8 Pt 2.73-2.79, 1 Mn 2.73
Pt: 0.3611 0.3611 0.8091  3 Ni 2.67-2.74, 7 Pt 2.70-2.79, 2 Mn 2.78
Pt: 0.4533 0.4533 0.2719  1 Ni 2.71, 9 Pt 2.75-2.81, 2 Mn 2.77
Pt: 0.5467 0.5467 0.7281  1 Ni 2.71, 9 Pt 2.75-2.81, 2 Mn 2.77
Pt: 0.6389 0.6389 0.1909  3 Ni 2.67-2.74, 7 Pt 2.70-2.79, 2 Mn 2.78
Pt: 0.8182 0.8182 0.0834  3 Ni 2.73-2.80, 8 Pt 2.73-2.79, 1 Mn 2.73
Pt: 0.9024 0.9024 0.5480  3 Ni 2.67-2.68, 8 Pt 2.70-2.95, 1 Mn 2.75

---

Calculated values (eV per atom) of calculated formation energy for the records, taken in order: -0.31; -0.16.
Calculated values (Å³/atom) of calculated volume for the records, taken in order: 28.92; 14.78.